(1)
Entry from Alexandria via LeMat-Bulk: an optimized crystal structure of La5Ce3P8 (PBE).

a b c (Å): 8.4076 8.4076 20.6180
angles (deg): 90.00 90.00 120.00
Space group R-3m (No. 166, hexagonal axes)
One atom of each set of equivalent atoms:
La 0.0000 0.0000 0.0000 [3 per cell]
La 0.0000 0.0000 0.5000 [3 per cell]
La 0.0000 0.5000 0.0000 [9 per cell]
Ce 0.0000 0.5000 0.5000 [9 per cell]
P 0.0000 0.0000 0.2460 [6 per cell]
P 0.0061 0.5030 0.7530 [18 per cell]

Formation energy from the elements: -1.543 eV per atom

***

(2)
Entry from Alexandria via LeMat-Bulk: an optimized crystal structure of Nb2IrRu (PBE).

a b c (Å): 5.7859 5.7859 11.4419
angles (deg): 90.00 90.00 90.00
Space group I-42d (No. 122)
One atom of each set of equivalent atoms:
Nb 0.2457 0.2500 0.1250 [8 per cell]
Ir 0.0000 0.0000 0.5000 [4 per cell]
Ru 0.0000 0.0000 0.0000 [4 per cell]

Formation energy from the elements: 0.890 eV per atom

***

(3)
Entry from Alexandria via LeMat-Bulk: an optimized crystal structure of CsLiPb2 (PBE).

a b c (Å): 8.2227 8.2227 8.2227
angles (deg): 90.00 90.00 90.00
Space group Fm-3m (No. 225)
One atom of each set of equivalent atoms:
Cs 0.0000 0.0000 0.0000 [4 per cell]
Li 0.0000 0.0000 0.5000 [4 per cell]
Pb 0.2500 0.2500 0.2500 [8 per cell]

Energy above the lowest structure with this stoichiometry: 360 meV/atom
Formation energy from the elements: 0.138 eV per atom